*a*
A relaxed Hf2ZrNi2As4Pd2 crystal. Source: OQMD, functional GGA-PBE.

Cell: 6.5180 3.8851 7.5446 Å, 90.00 90.16 90.00°
With the nearest neighbours (Å) after each atom.
Space group Pm (No. 6)
Unique sites:
1 Hf 0.0000 0.0000 0.0000 x1  5 As 2.75-2.84, 2 Pd 2.89, 3 Ni 2.91-2.96
2 Hf 0.0721 0.5000 0.6290 x1  5 As 2.73-2.82, 3 Pd 2.90-3.02, 2 Ni 2.96
3 Zr 0.5705 0.5000 0.4886 x1  5 As 2.64-2.82
4 Ni 0.6921 0.5000 0.8678 x1  4 As 2.39-2.62
5 Ni 0.8965 0.0000 0.3744 x1  4 As 2.46-2.60, 2 Pd 2.73
6 As 0.2845 0.0000 0.4303 x1  3 Pd 2.51-2.57, 1 Ni 2.56, 2 Zr 2.73
7 As 0.3004 0.5000 0.9460 x1  3 Pd 2.48-2.50, 1 Ni 2.62
8 As 0.7589 0.5000 0.1793 x1  3 Ni 2.39-2.60, 1 Pd 2.62, 1 Zr 2.64
9 As 0.7848 0.0000 0.6858 x1  3 Ni 2.46, 1 Pd 2.61, 2 Hf 2.73
10 Pd 0.1528 0.5000 0.2515 x1  4 As 2.50-2.62, 2 Ni 2.73
11 Pd 0.3941 0.0000 0.7584 x1  4 As 2.48-2.61

Summary:
* magnetic moment: 0.0 μB per cell



*b*
A relaxed Hf2ZrNi2As4Pd2 crystal. Source: OQMD, functional GGA-PBE.

Cell: 6.4849 3.8563 7.5652 Å, 90.00 91.38 90.00°
With the nearest neighbours (Å) after each atom.
Space group Pm (No. 6)
Unique sites:
1 Hf 0.0000 0.0000 0.0000 x1  5 As 2.76-2.86, 3 Pd 2.89-2.90, 3 Ni 3.05-3.08
2 Hf 0.4365 0.5000 0.4962 x1  5 As 2.66-2.81, 3 Ni 2.91-2.96, 2 Pd 2.95
3 Zr 0.9357 0.5000 0.6307 x1  5 As 2.76-2.79, 3 Pd 2.99-3.02, 3 Ni 3.01-3.07
4 Ni 0.3264 0.5000 0.8671 x1  4 As 2.36-2.45
5 Ni 0.6135 0.0000 0.7553 x1  4 As 2.39-2.46
6 As 0.2379 0.0000 0.7018 x1  3 Ni 2.36-2.46, 1 Pd 2.59
7 As 0.2601 0.5000 0.1729 x1  1 Ni 2.36, 2 Pd 2.62
8 As 0.6990 0.5000 0.9284 x1  3 Ni 2.39-2.45, 1 Pd 2.52
9 As 0.7098 0.0000 0.4424 x1  1 Ni 2.46, 3 Pd 2.59-2.73, 2 Hf 2.66
10 Pd 0.1207 0.0000 0.3717 x1  4 As 2.59-2.73, 2 Pd 2.83, 1 Hf 2.90
11 Pd 0.8352 0.5000 0.2427 x1  4 As 2.52-2.82

Summary:
* magnetic moment: 0.0 μB per cell



Result of the stability comparison: *a* is the least stable of them.



*a*
A relaxed CdHgSO crystal. Source: OQMD, functional GGA-PBE.

Cell: 4.0720 4.0720 9.3695 Å, 90.00 90.00 90.00°
With the nearest neighbours (Å) after each atom.
Space group P4/nmm (No. 129, origin choice 2)
Unique sites:
1 Cd 0.2500 0.2500 0.2275 x2  1 O 2.23
2 Hg 0.2500 0.7500 0.5000 x2  4 Hg 2.88
3 S 0.2500 0.2500 0.8256 x2  1 O 1.53
4 O 0.2500 0.2500 0.9892 x2  1 S 1.53



*b*
A relaxed CdHgSO crystal. Source: OQMD, functional GGA-PBE.

Cell: 6.6353 6.9285 7.2580 Å, 90.00 90.00 90.00°
With the nearest neighbours (Å) after each atom.
Space group P2_12_12_1 (No. 19)
Unique sites:
1 Cd 0.0236 0.0903 0.1774 x4  2 O 2.22-2.27
2 Hg 0.0611 0.6951 0.8314 x4  1 O 2.11
3 S 0.2218 0.1571 0.8680 x4  1 Hg 2.38, 1 Cd 2.64
4 O 0.1269 0.3117 0.3877 x4  1 Hg 2.11, 2 Cd 2.22-2.27



Result of the stability comparison: *a* is the least stable of them.



*a*
A relaxed TbHgNO crystal. Source: OQMD, functional GGA-PBE.

Cell: 3.9165 3.9165 8.0166 Å, 90.00 90.00 90.00°
With the nearest neighbours (Å) after each atom.
Space group P4/nmm (No. 129, origin choice 2)
Unique sites:
1 Tb 0.2500 0.2500 0.1374 x2  4 O 2.25
2 Hg 0.2500 0.7500 0.5000 x2  4 N 2.51, 4 Hg 2.77
3 N 0.2500 0.2500 0.6965 x2  4 Hg 2.51
4 O 0.2500 0.7500 0.0000 x2  4 Tb 2.25

Summary:
* magnetic moment: 0.0 μB per cell



*b*
A relaxed TbHgNO crystal. Source: OQMD, functional GGA-PBE.

Cell: 6.5410 7.5226 6.3641 Å, 90.00 90.00 90.00°
With the nearest neighbours (Å) after each atom.
Space group Pca2_1 (No. 29)
Unique sites:
1 Tb 0.0816 0.1191 0.0000 x4  3 O 2.19-2.21, 1 N 2.21
2 Hg 0.2357 0.6037 0.8090 x4  2 N 2.09-2.11
3 N 0.0414 0.6104 0.5486 x4  2 Hg 2.09-2.11, 1 Tb 2.21
4 O 0.1305 0.0624 0.6634 x4  3 Tb 2.19-2.21

Summary:
* magnetic moment: 0.0 μB per cell



Result of the stability comparison: *a* is the least stable of them.